(1)
Density functional theory data (SCAN) for a crystal of Pm3Ho relaxed with PBEsol.

Unit cell a=7.1453 b=7.1453 c=5.7122 alpha=90.00 beta=90.00 gamma=120.00
Space group P6_3/mmc (No. 194)
One atom of each set of equivalent atoms:
Pm1 0.1670 0.3340 0.2500
Ho1 0.3333 0.6667 0.7500

offset from the most stable computed form = 8.5 meV/atom

=====

(2)
Density functional theory data (SCAN) for a crystal of La2Cu3 relaxed with PBEsol.

Unit cell a=8.976 b=16.167 c=5.550 alpha=90.00 beta=90.00 gamma=90.00
Space group Fdd2 (No. 43)
One atom of each set of equivalent atoms:
La1 0.079 0.200 0.000
Cu1 0.000 0.000 0.243
Cu2 0.080 0.127 0.502

=====

(3)
Density functional theory data (SCAN) for a crystal of In2Ga2Bi relaxed with PBEsol.

Unit cell a=8.070 b=8.070 c=3.616 alpha=90.00 beta=90.00 gamma=90.00
Space group P4/mbm (No. 127)
One atom of each set of equivalent atoms:
In1 0.180 0.320 0.000
Ga1 0.119 0.619 0.500
Bi1 0.000 0.000 0.500

=====

The calculation returns the following energy values, one per record and in order: -361.704; -1060.274; -354.775 eV per cell.
The calculation returns the following energy of formation from the pure elements values, one per record and in order: 0.023; -0.145; 0.132 eV per atom.
The calculation returns the following spin magnetization values, one per record and in order: 0.00; 0.00; 0.00 Bohr magnetons per cell.